# CaCo3Sn (GGA-PBE, optimized geometry)
data_CaCo3Sn
_chemical_formula_sum 'Ca1 Co3 Sn1'
_symmetry_space_group_name_H-M 'P 1'
_symmetry_Int_Tables_number 1
_cell_length_a 4.538
_cell_length_b 4.538
_cell_length_c 4.538
_cell_angle_alpha 90.00
_cell_angle_beta 90.00
_cell_angle_gamma 90.00
loop_
_symmetry_equiv_pos_as_xyz
'x,y,z'
loop_
_atom_site_label
_atom_site_fract_x
_atom_site_fract_y
_atom_site_fract_z
Sn1 0.500 0.500 0.500
Co1 0.000 0.000 0.500
Co2 0.000 0.500 0.000
Co3 0.500 0.000 0.000
Ca1 0.000 0.000 0.000
# total DFT energy (no corrections) = -19.27 eV for the cell shown
# ΔE_f = 1.611 eV per atom
# excess energy over the best structure of this formula in the dataset = 802 meV per atom